1.
TlMoP2Cl: optimized geometry, PBE-GGA.

**DFT total energy**: -5.16 eV/atom
**Energy above the most stable polymorph in this dataset**: 0.000 eV per atom

a = 4.6791 Å, b = 4.6791 Å, c = 5.3357 Å
α = 90.00°, β = 90.00°, γ = 90.00°
With the nearest neighbours (Å) after each atom.
Sites, in units of the cell vectors:
P 0.0000 0.5000 0.0000  2 Mo 2.34
P 0.5000 0.0000 0.0000  2 Mo 2.34
Tl 0.5000 0.5000 0.5000  4 Cl 3.31, 8 P 3.55
Mo 0.0000 0.0000 0.0000  4 P 2.34
Cl 0.0000 0.0000 0.5000  2 Mo 2.67



2.
RbLi2BiAs: optimized geometry, PBE-GGA.

**DFT total energy**: -2.75 eV/atom
**Energy above the most stable polymorph in this dataset**: 0.155 eV per atom

a = 5.3266 Å, b = 5.8564 Å, c = 5.3266 Å
α = 90.00°, β = 90.00°, γ = 90.00°
With the nearest neighbours (Å) after each atom.
Sites, in units of the cell vectors:
As 0.0000 0.5000 0.0000  2 Bi 2.93
Bi 0.0000 0.0000 0.0000  4 Li 2.66, 2 As 2.93
Rb 0.5000 0.5000 0.5000  4 As 3.77, 8 Li 3.96
Li 0.0000 0.0000 0.5000  2 Bi 2.66
Li 0.5000 0.0000 0.0000  2 Bi 2.66



3.
Li7H5O: optimized geometry, PBE-GGA.

**DFT total energy**: -3.41 eV/atom

a = 2.8456 Å, b = 4.9117 Å, c = 16.1584 Å
α = 90.00°, β = 90.00°, γ = 106.84°
With the nearest neighbours (Å) after each atom.
Sites, in units of the cell vectors:
Li 0.4340 0.8680 0.2500  2 O 1.89, 2 H 1.92
Li 0.5667 0.1334 0.7500  2 O 1.89, 2 H 1.93
Li 0.6354 0.2708 0.0363  6 H 1.97-2.03
Li 0.3657 0.7314 0.9638  6 H 1.97-2.03
Li 0.3651 0.7302 0.5361  6 H 1.97-2.03
Li 0.6348 0.2695 0.4636  6 H 1.97-2.03
Li 0.2021 0.4042 0.1813  1 H 1.87, 2 O 2.03
Li 0.7989 0.5977 0.8188  1 H 1.87, 2 O 2.03
Li 0.7985 0.5970 0.6813  1 H 1.87, 2 O 2.03
Li 0.2018 0.4035 0.3187  1 H 1.87, 2 O 2.03
Li 0.9111 0.8221 0.1150  5 H 1.97-2.04
Li 0.0901 0.1801 0.8850  5 H 1.97-2.04
Li 0.0894 0.1788 0.6147  5 H 1.97-2.04
Li 0.9104 0.8209 0.3847  5 H 1.97-2.04
H 0.0005 0.0010 0.0001  6 Li 1.99-2.04
H 0.7261 0.4523 0.9267  6 Li 1.87-2.03
H 0.2749 0.5498 0.0736  6 Li 1.87-2.03
H 0.5432 0.0865 0.3506  6 Li 1.92-2.12
H 0.4571 0.9142 0.6493  6 Li 1.93-2.13
H 0.0000 0.9999 0.4999  6 Li 1.99-2.04
H 0.2744 0.5488 0.4265  6 Li 1.87-2.03
H 0.7256 0.4512 0.5734  6 Li 1.87-2.03
H 0.4574 0.9148 0.8508  6 Li 1.93-2.12
H 0.5435 0.0870 0.1494  6 Li 1.92-2.12
O 0.8011 0.6023 0.2502  6 Li 1.89-2.03
O 0.1996 0.3992 0.7501  6 Li 1.89-2.03



4.
Ce5P3H: optimized geometry, PBE-GGA.

**DFT total energy**: -6.46 eV/atom

a = 7.5601 Å, b = 7.5601 Å, c = 8.5604 Å
α = 116.20°, β = 116.20°, γ = 90.00°
With the nearest neighbours (Å) after each atom.
Sites, in units of the cell vectors:
Ce 0.0206 0.5206 0.7124  1 H 2.26
Ce 0.6919 0.1919 0.7124  1 H 2.26
Ce 0.1919 0.0206 0.7124  1 H 2.26
Ce 0.5206 0.6919 0.7124  1 H 2.26
Ce 0.9794 0.4794 0.2876  1 H 2.26
Ce 0.3081 0.8081 0.2876  1 H 2.26
Ce 0.8081 0.9794 0.2876  1 H 2.26
Ce 0.4794 0.3081 0.2876  1 H 2.26
Ce 0.5000 0.5000 0.0000  4 P 2.92
Ce 0.0000 0.0000 0.0000  4 P 2.92
P 0.6396 0.1396 0.0000  8 Ce 2.84-3.00, 1 P 2.98
P 0.3604 0.8604 0.0000  8 Ce 2.84-3.00, 1 P 2.98
P 0.8604 0.6396 0.0000  8 Ce 2.84-3.00, 1 P 2.98
P 0.1396 0.3604 0.0000  8 Ce 2.84-3.00, 1 P 2.98
P 0.2500 0.2500 0.5000  10 Ce 3.16-3.34
P 0.7500 0.7500 0.5000  10 Ce 3.16-3.34
H 0.7500 0.2500 0.5000  4 Ce 2.26
H 0.2500 0.7500 0.5000  4 Ce 2.26



Number 1: total magnetic moment 0.0 Bohr magnetons per cell. Number 2: total magnetic moment 0.0 Bohr magnetons per cell. Number 3: total magnetic moment 0.0 Bohr magnetons per cell. Number 4: total magnetic moment 8.7 Bohr magnetons per cell.